This record from Alexandria describes a relaxed Cr4OsAu crystal. The functional is PBE-GGA.

Computed properties:
M_tot   0.0 μB per formula unit
Energy of formation   0.178 eV/atom

Cell lengths 4.788, 4.788, 4.788 Å; angles 60.00, 60.00, 60.00 degrees
Positions (direct):
1 Au 0.000 0.000 0.000
2 Os 0.250 0.250 0.250
3 Cr 0.628 0.628 0.628
4 Cr 0.628 0.628 0.116
5 Cr 0.116 0.628 0.628
6 Cr 0.628 0.116 0.628